This record from the Alexandria database describes a relaxed structure of Ba2SmIn2Bi4. The functional is PBE.

Lattice parameters (Å, degrees): 9.1172 9.1172 8.1431 110.90 110.90 31.27
Fractional positions:
1 Ba 0.1306 0.1306 0.1095
2 Ba 0.8694 0.8694 0.8905
3 Sm 0.0000 0.0000 0.5000
4 In 0.3372 0.3372 0.5230
5 In 0.6628 0.6628 0.4770
6 Bi 0.1998 0.1998 0.7174
7 Bi 0.4838 0.4838 0.2233
8 Bi 0.5162 0.5162 0.7767
9 Bi 0.8002 0.8002 0.2826

Values from the calculation:
Its calculated density is 7.6 g cm⁻³. The space group is C2/m. Its crystal system is monoclinic. The formation energy comes out at -0.60 eV/atom. The value obtained for the density of states at the Fermi level is 4.084 states/eV per cell.



This record from the Alexandria database describes a relaxed structure of Pr3Hg2C. The functional is PBE.

Lattice parameters (Å, degrees): 7.4608 7.4608 6.9699 90.00 90.00 120.00
Fractional positions:
1 Pr 0.1513 0.3026 0.2500
2 Pr 0.1513 0.8487 0.2500
3 Pr 0.3026 0.1513 0.7500
4 Pr 0.6974 0.8487 0.2500
5 Pr 0.8487 0.1513 0.7500
6 Pr 0.8487 0.6974 0.7500
7 Hg 0.3333 0.6667 0.5562
8 Hg 0.3333 0.6667 0.9438
9 Hg 0.6667 0.3333 0.0562
10 Hg 0.6667 0.3333 0.4438
11 C 0.0000 0.0000 0.0000
12 C 0.0000 0.0000 0.5000

Values from the calculation:
Its calculated density is 8.3 g cm⁻³. The space group is P6_3/mmc. Its crystal system is hexagonal. The formation energy comes out at -0.22 eV/atom. The value obtained for the density of states at the Fermi level is 8.654 states/eV per cell.



This record from the Alexandria database describes a relaxed structure of PmLuSc2. The functional is PBE.

Lattice parameters (Å, degrees): 3.8600 3.8600 7.5481 90.00 90.00 90.00
Fractional positions:
1 Pm 0.0000 0.0000 0.0000
2 Lu 0.0000 0.0000 0.5000
3 Sc 0.5000 0.5000 0.2628
4 Sc 0.5000 0.5000 0.7372

Values from the calculation:
Its calculated density is 6.1 g cm⁻³. The space group is P4/mmm. Its crystal system is tetragonal. The formation energy comes out at 0.08 eV/atom. The value obtained for the density of states at the Fermi level is 5.799 states/eV per cell.



This record from the Alexandria database describes a relaxed structure of YSe2Cl. The functional is PBE.

Lattice parameters (Å, degrees): 9.9500 9.9500 9.9500 20.53 20.53 20.53
Fractional positions:
1 Y 0.0000 0.0000 0.0000
2 Se 0.0924 0.0924 0.0924
3 Se 0.9076 0.9076 0.9076
4 Cl 0.5000 0.5000 0.5000

Values from the calculation:
Its calculated density is 4.4 g cm⁻³. The calculation puts the calculated total energy at -0.1312 hartree per atom. The space group is R-3m. Its crystal system is trigonal. The value obtained for the density of states at the Fermi level is 4.592 states/eV per cell.